First-principles (PBE) data for crystalline Sc4TcRh at its relaxed geometry, as listed in Alexandria.

a = 4.5080 Å, b = 4.5080 Å, c = 6.3831 Å
α = 90.00°, β = 90.00°, γ = 90.00°
Last column: nearest neighbours and their distance in Å.
Fractional coordinates of all 6 atoms:
Sc1 0.0000 0.5000 0.2454  2 Tc 2.74, 2 Rh 2.78
Sc2 0.0000 0.5000 0.7546  2 Tc 2.74, 2 Rh 2.78
Sc3 0.5000 0.0000 0.2454  2 Tc 2.74, 2 Rh 2.78
Sc4 0.5000 0.0000 0.7546  2 Tc 2.74, 2 Rh 2.78
Tc1 0.0000 0.0000 0.0000  8 Sc 2.74
Rh1 0.5000 0.5000 0.5000  8 Sc 2.78

Results
Calculated volume, Å³ per atom: 21.6
Energy above the most stable polymorph in this dataset, eV per formula unit: 0.74
Formation enthalpy at 0 K, eV per atom: -0.30
Calculated total energy, eV for the cell shown: -44.9
Magnetization, μB/f.u.: 0.0
DOS(E_F), states/eV/atom: 0.356